CrAgIr2 | the Alexandria database | PBE | relaxed; uncorrected energy = -7.2354 eV/atom; offset from the most stable computed form = 273 meV per atom; energy of formation from the pure elements = 0.314 eV per atom
1.0
4.810 -0.004 0.000
1.697 4.501 0.000
-3.254 -2.249 2.738
Ir Ag Cr
2 1 1
Cartesian
0.000 0.000 0.000
0.849 2.251 1.369
3.254 2.249 0.000
2.405 -0.002 1.369



Cr2AgIrOs | the Alexandria database | PBE | relaxed; uncorrected energy = -6.9860 eV/atom; offset from the most stable computed form = 0 meV per atom; energy of formation from the pure elements = 1.452 eV per atom
1.0
4.753 0.000 0.000
0.000 4.708 0.000
0.000 0.000 4.753
Ir Cr Ag Os
1 2 1 1
Cartesian
0.000 0.000 0.000
0.000 0.000 2.377
2.377 0.000 0.000
2.377 2.354 2.377
0.000 2.354 0.000



RbCr2AgIr | the Alexandria database | PBE | relaxed; uncorrected energy = -4.4735 eV/atom; energy of formation from the pure elements = 1.912 eV per atom
1.0
5.100 0.000 0.000
0.000 5.688 0.000
0.000 0.000 5.100
Cr Rb Ir Ag
2 1 1 1
Cartesian
0.000 0.000 2.550
2.550 0.000 0.000
0.000 2.844 0.000
2.550 2.844 2.550
0.000 0.000 0.000



SrCrAgIr2 | the Alexandria database | PBE | relaxed; uncorrected energy = -4.3454 eV/atom; energy of formation from the pure elements = 2.030 eV per atom
1.0
-0.417 -3.099 -3.837
3.062 -3.355 2.377
-3.948 -2.098 2.124
Ag Cr Ir Sr
1 1 2 1
Cartesian
0.000 0.000 0.000
-0.652 -4.276 0.332
-0.209 -1.550 -1.918
-1.974 -1.049 1.062
1.531 -1.677 1.188



Tl2CrAgIr | the Alexandria database | PBE | relaxed; uncorrected energy = -3.8308 eV/atom; energy of formation from the pure elements = 1.383 eV per atom
1.0
-1.109 4.740 -1.899
-3.784 -2.008 -2.802
-3.340 0.797 3.939
Ir Tl Cr Ag
1 2 1 1
Cartesian
-1.892 -1.004 -1.401
-1.670 0.399 1.970
-0.554 2.370 -0.950
-4.116 1.765 -0.381
0.000 0.000 0.000



CrAgIrW2 | the Alexandria database | PBE | relaxed; uncorrected energy = -8.0068 eV/atom; energy of formation from the pure elements = 1.442 eV per atom
1.0
-1.810 4.096 -0.413
-4.044 -1.860 -0.726
-0.829 0.079 4.419
Cr W Ir Ag
1 2 1 1
Cartesian
0.000 0.000 0.000
-0.415 0.040 2.209
-0.905 2.048 -0.207
-2.022 -0.930 -0.363
-3.342 1.157 1.640